1.
VASP calculation (PBE-GGA) on a relaxed PaS2Cl5 crystal.

POSCAR file:
```
PaS2Cl5
1.0
4.822 -0.035 2.534
2.124 7.944 1.647
-1.165 0.453 8.365
Cl Pa S
5 1 2
direct
0.807 0.982 0.316
0.105 0.685 0.019
0.464 0.000 0.000
0.120 0.018 0.684
0.823 0.315 0.981
0.964 0.000 0.000
0.298 0.560 0.484
0.642 0.441 0.514
```

SG = P1 (1)
ΔE_f (raw) = -1.23 eV/atom

2.
VASP calculation (PBE-GGA) on a relaxed PaS3Cl crystal.

POSCAR file:
```
PaS3Cl
1.0
-2.733 2.829 -0.338
-3.480 -2.375 8.265
4.540 5.588 3.517
Pa S Cl
2 6 2
direct
0.851 0.250 0.975
0.149 0.750 0.025
0.348 0.049 0.100
0.652 0.951 0.900
0.347 0.250 0.758
0.653 0.750 0.242
0.348 0.451 0.100
0.652 0.549 0.900
0.896 0.250 0.299
0.104 0.750 0.701
```

SG = P2_1/m (11)
ΔE_f (raw) = -1.17 eV/atom

3.
VASP calculation (PBE-GGA) on a relaxed PaS2Cl crystal.

POSCAR file:
```
PaS2Cl
1.0
-1.651 -2.066 4.517
1.957 -2.807 3.961
1.873 6.416 3.608
Pa S Cl
1 2 1
direct
0.144 0.144 0.428
0.570 0.570 0.211
0.843 0.843 0.450
0.571 0.571 0.683
```

SG = Cm (8)
ΔE_f (raw) = -1.46 eV/atom

4.
VASP calculation (PBE-GGA) on a relaxed Pa2S5Cl crystal.

POSCAR file:
```
Pa2S5Cl
1.0
-3.407 -1.143 2.215
-4.502 -2.935 -4.418
0.309 -6.885 0.945
S Cl Pa
5 1 2
direct
0.000 0.500 0.500
0.662 0.524 0.153
0.338 0.476 0.847
0.662 0.153 0.524
0.338 0.847 0.476
0.000 0.000 0.000
0.754 0.746 0.746
0.246 0.254 0.254
```

SG = Immm (71)
ΔE_f (raw) = -1.24 eV/atom